1.
A plane-wave DFT calculation with PBE-GGA was carried out for HgPdO3 after structural relaxation.

Summary:
The value obtained for the total energy is -43.5 eV per cell.

abc: 5.4298 5.4298 5.9678
angles: 62.94 62.94 60.00
Sites, in units of the cell vectors:
O (0.8039, 0.0359, 0.7220)
Hg (0.3730, 0.3730, 0.8810)
O (0.9641, 0.5618, 0.2780)
O (0.4382, 0.8039, 0.7220)
Pd (0.1617, 0.1617, 0.5148)
O (0.0359, 0.4382, 0.7220)
Hg (0.6270, 0.6270, 0.1190)
O (0.1961, 0.9641, 0.2780)
Pd (0.8383, 0.8383, 0.4852)
O (0.5618, 0.1961, 0.2780)

=====

2.
A plane-wave DFT calculation with PBE-GGA was carried out for Li2AgSn after structural relaxation.

Summary:
The value obtained for the total energy is -24.3 eV per cell.

abc: 4.6266 4.6266 6.5329
angles: 90.00 90.00 90.00
Sites, in units of the cell vectors:
Li (0.0000, 0.0000, 0.5000)
Sn (0.5000, 0.0000, 0.7498)
Sn (0.0000, 0.5000, 0.2502)
Ag (0.5000, 0.5000, 0.5000)
Li (0.0000, 0.5000, 0.7494)
Li (0.5000, 0.0000, 0.2506)
Li (0.5000, 0.5000, 0.0000)
Ag (0.0000, 0.0000, 0.0000)

=====

3.
A plane-wave DFT calculation with PBE-GGA was carried out for LiHfB2 after structural relaxation.

Summary:
The value obtained for the total energy is -22.1 eV per cell.

abc: 3.9009 3.9009 3.9009
angles: 60.00 60.00 60.00
Sites, in units of the cell vectors:
B (0.2500, 0.2500, 0.2500)
Hf (0.5000, 0.5000, 0.5000)
B (0.0000, 0.0000, 0.0000)
Li (0.7500, 0.7500, 0.7500)